Material: TlAs2SeCl
Method: DFT, GGA-PBEsol
State: optimized geometry

* magnetization: 0.00 Bohr magnetons per cell
* symmetry: P4/mmm
* uncorrected formation energy: 760.8 meV per atom
* energy above the lowest structure with this stoichiometry: 0.0000 eV/atom
* N(E_F): 1.4217 states/eV per atom

Geometry as extended XYZ:
```
5
Lattice="4.984 0.000 0.000 0.000 4.984 0.000 0.000 0.000 4.948" Properties=species:S:1:pos:R:3 pbc="T T T"
Tl 0.000 0.000 0.000
As 0.000 2.492 2.474
As 2.492 0.000 2.474
Se 2.492 2.492 0.000
Cl 2.492 2.492 2.474
```